[1]
The following is a GGA-PBE calculation of a relaxed MnCuIN2 crystal, from the Alexandria database.

Cell: 3.6468 3.6468 5.7402 Å, 90.00 90.00 90.00°
Element x y z (fractional)
Mn  0.0000  0.0000  0.0000
Cu  0.5000  0.5000  0.5000
I  0.0000  0.0000  0.5000
N  0.0000  0.5000  0.0000
N  0.5000  0.0000  0.0000

Values from the calculation:
The offset from the most stable computed form comes out at 0.0 meV/atom. As for the density: 5.95 g/cm³.

=====

[2]
The following is a GGA-PBE calculation of a relaxed MnCuIN2 crystal, from the Alexandria database.

Cell: 3.7336 3.7336 6.6391 Å, 90.00 90.00 90.00°
Element x y z (fractional)
Mn  0.0000  0.0000  0.0000
Cu  0.5000  0.5000  0.5000
I  0.5000  0.5000  0.0000
N  0.0000  0.5000  0.5000
N  0.5000  0.0000  0.5000

Values from the calculation:
The offset from the most stable computed form comes out at 1211.6 meV/atom. As for the density: 4.91 g/cm³.

=====

[3]
The following is a GGA-PBE calculation of a relaxed NaMnCu2I6 crystal, from the Alexandria database.

Cell: 10.1195 10.1195 7.9213 Å, 104.57 104.57 85.50°
Element x y z (fractional)
Na  0.1231  0.8769  0.7500
Na  0.8769  0.1231  0.2500
Mn  0.1972  0.8028  0.2500
Mn  0.8028  0.1972  0.7500
Cu  0.2494  0.3777  0.7848
Cu  0.3777  0.2494  0.2848
Cu  0.6223  0.7506  0.7152
Cu  0.7506  0.6223  0.2152
I  0.0447  0.1960  0.6592
I  0.1459  0.6213  0.9342
I  0.1960  0.0447  0.1592
I  0.2822  0.4367  0.5025
I  0.3787  0.8541  0.5658
I  0.4367  0.2822  0.0025
I  0.5633  0.7178  0.9975
I  0.6213  0.1459  0.4342
I  0.7178  0.5633  0.4975
I  0.8040  0.9553  0.8408
I  0.8541  0.3787  0.0658
I  0.9553  0.8040  0.3408

Values from the calculation:
As for the density: 4.22 g/cm³.

=====

[4]
The following is a GGA-PBE calculation of a relaxed Na2MnCuI6 crystal, from the Alexandria database.

Cell: 7.6500 7.6527 8.4416 Å, 90.00 63.07 60.05°
Element x y z (fractional)
Na  0.0000  0.0000  0.0000
Na  0.0369  0.4810  0.4447
Mn  0.6270  0.6861  0.0594
Cu  0.4551  0.2720  0.8179
I  0.1143  0.3198  0.7963
I  0.1726  0.0345  0.2673
I  0.5236  0.5656  0.7969
I  0.5254  0.4394  0.2674
I  0.7676  0.7922  0.2672
I  0.7697  0.9100  0.7963

Values from the calculation:
As for the density: 4.21 g/cm³.

=====

[5]
The following is a GGA-PBE calculation of a relaxed MnCu2NiI crystal, from the Alexandria database.

Cell: 4.7915 4.7915 4.9918 Å, 90.00 90.00 90.00°
Element x y z (fractional)
Mn  0.0000  0.0000  0.0000
Cu  0.0000  0.5000  0.5000
Cu  0.5000  0.0000  0.5000
Ni  0.5000  0.5000  0.0000
I  0.0000  0.0000  0.5000

Values from the calculation:
As for the density: 5.33 g/cm³.

=====

| no. | formation energy without anion corrections (eV/atom) |
| --- | --- |
| 1 | 0.7478 |
| 2 | 1.9594 |
| 3 | -0.4014 |
| 4 | -0.6188 |
| 5 | 1.5376 |